! ThCuS2 PBE relaxed; values from VASP
! Crystal system = trigonal
! Total magnetization = 0.000 μB/atom
! Density = 6.47 Mg/m³
! Uncorrected formation energy = -250 meV/atom
&SYSTEM
  ibrav = 0, nat = 4, ntyp = 3
/
ATOMIC_SPECIES
Cu 63.55 Cu.upf
S 32.06 S.upf
Th 232.04 Th.upf
CELL_PARAMETERS angstrom
3.710 0.000 0.000
1.855 3.213 0.000
1.855 1.071 7.742
ATOMIC_POSITIONS angstrom
Cu 3.710 2.142 3.871
S 5.565 3.213 2.637
S 1.855 1.071 5.106
Th 0.000 0.000 0.000

---

! ThTl2Cu2S4 PBE relaxed; values from VASP
! Crystal system = monoclinic
! Total magnetization = 0.000 μB/atom
! Density = 6.86 Mg/m³
! Uncorrected formation energy = -886 meV/atom
&SYSTEM
  ibrav = 0, nat = 9, ntyp = 4
/
ATOMIC_SPECIES
S 32.06 S.upf
Tl 204.38 Tl.upf
Cu 63.55 Cu.upf
Th 232.04 Th.upf
CELL_PARAMETERS angstrom
4.041 0.000 0.000
-2.021 7.290 -0.052
0.000 -2.582 7.377
ATOMIC_POSITIONS angstrom
S 2.021 -1.625 5.696
S 0.000 2.506 1.226
S 0.000 6.333 1.629
S 2.021 2.202 6.099
Tl 2.021 4.137 3.032
Tl 0.000 0.571 4.293
Cu 0.000 4.601 0.043
Cu 2.021 0.106 7.282
Th 0.000 0.000 0.000

---

! ThTlCu2S4 PBE relaxed; values from VASP
! Crystal system = orthorhombic
! Total magnetization = 0.000 μB/atom
! Density = 6.83 Mg/m³
! Uncorrected formation energy = -712 meV/atom
&SYSTEM
  ibrav = 0, nat = 8, ntyp = 4
/
ATOMIC_SPECIES
S 32.06 S.upf
Cu 63.55 Cu.upf
Th 232.04 Th.upf
Tl 204.38 Tl.upf
CELL_PARAMETERS angstrom
-0.289 -6.647 -0.113
2.501 -3.511 4.217
-4.293 -3.191 2.783
ATOMIC_POSITIONS angstrom
S 0.213 -5.018 5.295
S -2.144 -4.854 1.652
S -2.932 -8.353 4.604
S 0.699 -8.471 2.225
Cu -0.618 -3.341 2.184
Cu -1.463 -10.008 4.704
Th -1.041 -6.674 3.444
Tl 0.000 0.000 0.000

---

! TiCu2S4 PBE relaxed; values from VASP
! Crystal system = orthorhombic
! Total magnetization = 0.000 μB/atom
! Density = 3.97 Mg/m³
! Uncorrected formation energy = -613 meV/atom
&SYSTEM
  ibrav = 0, nat = 14, ntyp = 3
/
ATOMIC_SPECIES
Cu 63.55 Cu.upf
Ti 47.87 Ti.upf
S 32.06 S.upf
CELL_PARAMETERS angstrom
6.655 0.000 0.000
3.327 6.481 0.357
3.327 2.447 6.012
ATOMIC_POSITIONS angstrom
Cu 6.655 4.464 3.184
Cu 3.327 2.552 3.953
Cu 9.982 6.376 2.415
Cu 3.327 0.000 0.000
Ti 4.991 3.240 0.178
Ti 1.664 3.240 0.178
S 9.982 6.501 4.696
S 5.177 5.295 1.644
S 6.655 2.092 1.434
S 8.133 3.633 4.724
S 6.655 6.835 4.934
S 8.133 5.295 1.644
S 5.177 3.633 4.724
S 3.327 2.427 1.673

---

! Ti5CuS10 PBE relaxed; values from VASP
! Crystal system = triclinic
! Total magnetization = 0.000 μB/atom
! Density = 3.48 Mg/m³
! Uncorrected formation energy = -1215 meV/atom
&SYSTEM
  ibrav = 0, nat = 16, ntyp = 3
/
ATOMIC_SPECIES
Ti 47.87 Ti.upf
S 32.06 S.upf
Cu 63.55 Cu.upf
CELL_PARAMETERS angstrom
-4.325 1.963 3.505
-4.172 0.430 -5.395
1.521 -8.086 1.448
ATOMIC_POSITIONS angstrom
Ti -6.804 -0.269 -0.737
Ti -1.402 -3.062 2.476
Ti -3.675 0.043 -2.020
Ti -0.172 -5.424 0.295
Ti -3.301 -5.736 1.578
S -5.317 -4.333 1.663
S -4.797 -1.728 -0.791
S -3.393 -1.648 2.539
S -2.531 -4.827 3.698
S -4.446 -0.866 -4.141
S -2.179 -3.965 0.349
S -3.583 -4.046 -2.981
S -1.338 -7.142 1.523
S -5.639 1.449 -1.965
S -1.659 -1.361 -2.106
Cu -1.325 -3.828 -1.973

---

! Ti2Cu2S7 PBE relaxed; values from VASP
! Crystal system = orthorhombic
! Total magnetization = 0.000 μB/atom
! Density = 2.97 Mg/m³
! Uncorrected formation energy = -613 meV/atom
&SYSTEM
  ibrav = 0, nat = 11, ntyp = 3
/
ATOMIC_SPECIES
S 32.06 S.upf
Cu 63.55 Cu.upf
Ti 47.87 Ti.upf
CELL_PARAMETERS angstrom
3.360 0.000 0.000
1.680 8.892 -0.611
1.680 3.678 8.119
ATOMIC_POSITIONS angstrom
S 1.680 3.946 4.571
S 3.360 6.478 1.401
S 3.360 8.265 2.468
S 5.041 6.675 6.201
S 3.360 10.233 6.722
S 3.360 3.846 7.838
S 3.360 1.799 1.685
Cu 1.680 2.520 2.883
Cu 5.041 8.837 6.656
Ti 1.680 8.122 0.678
Ti 3.360 5.045 5.830